The following is a DFT calculation (PBE) of a geometry-optimized Tl3TeH8 structure.

Computed properties:
Total energy in eV for the cell shown: -37.66
SG: Cm (8)

Unit cell a=4.751 b=4.751 c=10.327 alpha=102.03 beta=102.03 gamma=89.48
Positions (direct):
Tl  0.000  0.000  0.000
Tl  0.364  0.863  0.692
Tl  0.863  0.364  0.692
Te  0.467  0.467  0.924
H  0.151  0.659  0.280
H  0.198  0.198  0.443
H  0.203  0.612  0.215
H  0.238  0.238  0.382
H  0.612  0.203  0.215
H  0.659  0.151  0.280
H  0.718  0.718  0.370
H  0.768  0.768  0.446